# 1
# ZrCd2SnO6 PBE-GGA relaxed
# DFT total energy = -6.309 eV per atom
# Formation energy without anion corrections = -18.96 eV per formula unit
data_ZrCd2SnO6
_space_group_name_H-M_alt 'P 1'
_space_group_IT_number 1
_cell_length_a 5.617
_cell_length_b 5.617
_cell_length_c 5.827
_cell_angle_alpha 61.19
_cell_angle_beta 61.19
_cell_angle_gamma 60.00
loop_
_space_group_symop_operation_xyz
'x,y,z'
loop_
_atom_site_label
_atom_site_type_symbol
_atom_site_fract_x
_atom_site_fract_y
_atom_site_fract_z
O1 O 0.179 0.962 0.274
O2 O 0.585 0.179 0.274
O3 O 0.962 0.585 0.274
O4 O 0.458 0.676 0.779
O5 O 0.676 0.088 0.779
O6 O 0.088 0.458 0.779
Sn1 Sn 0.316 0.316 0.051
Zr1 Zr 0.814 0.814 0.557
Cd1 Cd 0.039 0.039 0.884
Cd2 Cd 0.545 0.545 0.366

---

# 2
# SrCdO3 PBE-GGA relaxed
# DFT total energy = -4.656 eV per atom
# Formation energy without anion corrections = -5.81 eV per formula unit
data_SrCdO3
_space_group_name_H-M_alt 'P 1'
_space_group_IT_number 1
_cell_length_a 4.143
_cell_length_b 4.143
_cell_length_c 4.143
_cell_angle_alpha 90.00
_cell_angle_beta 90.00
_cell_angle_gamma 90.00
loop_
_space_group_symop_operation_xyz
'x,y,z'
loop_
_atom_site_label
_atom_site_type_symbol
_atom_site_fract_x
_atom_site_fract_y
_atom_site_fract_z
O1 O 0.000 0.500 0.000
O2 O 0.000 0.000 0.500
O3 O 0.500 0.000 0.000
Cd1 Cd 0.000 0.000 0.000
Sr1 Sr 0.500 0.500 0.500

---

# 3
# Sr12Cd3O5 PBE-GGA relaxed
# DFT total energy = -3.719 eV per atom
# Formation energy without anion corrections = -26.66 eV per formula unit
data_Sr12Cd3O5
_space_group_name_H-M_alt 'P 1'
_space_group_IT_number 1
_cell_length_a 14.799
_cell_length_b 14.799
_cell_length_c 14.799
_cell_angle_alpha 109.47
_cell_angle_beta 109.47
_cell_angle_gamma 109.47
loop_
_space_group_symop_operation_xyz
'x,y,z'
loop_
_atom_site_label
_atom_site_type_symbol
_atom_site_fract_x
_atom_site_fract_y
_atom_site_fract_z
O1 O 0.000 0.000 0.000
O2 O 0.000 0.500 0.000
O3 O 0.000 0.500 0.500
O4 O 0.625 0.875 0.250
O5 O 0.375 0.125 0.750
O6 O 0.750 0.625 0.375
O7 O 0.000 0.000 0.500
O8 O 0.500 0.000 0.500
O9 O 0.625 0.750 0.875
O10 O 0.500 0.000 0.000
O11 O 0.750 0.125 0.875
O12 O 0.250 0.375 0.625
O13 O 0.125 0.750 0.375
O14 O 0.375 0.250 0.125
O15 O 0.875 0.625 0.750
O16 O 0.125 0.375 0.250
O17 O 0.875 0.250 0.625
O18 O 0.500 0.500 0.000
O19 O 0.250 0.875 0.125
O20 O 0.500 0.500 0.500
Sr1 Sr 0.187 0.104 0.991
Sr2 Sr 0.583 0.695 0.687
Sr3 Sr 0.896 0.083 0.888
Sr4 Sr 0.104 0.187 0.491
Sr5 Sr 0.695 0.112 0.009
Sr6 Sr 0.896 0.813 0.509
Sr7 Sr 0.604 0.612 0.417
Sr8 Sr 0.305 0.417 0.813
Sr9 Sr 0.813 0.896 0.009
Sr10 Sr 0.888 0.305 0.491
Sr11 Sr 0.104 0.917 0.112
Sr12 Sr 0.917 0.104 0.612
Sr13 Sr 0.187 0.083 0.695
Sr14 Sr 0.083 0.187 0.195
Sr15 Sr 0.195 0.509 0.612
Sr16 Sr 0.991 0.604 0.187
Sr17 Sr 0.195 0.687 0.083
Sr18 Sr 0.083 0.896 0.388
Sr19 Sr 0.313 0.509 0.396
Sr20 Sr 0.009 0.612 0.695
Sr21 Sr 0.313 0.805 0.417
Sr22 Sr 0.509 0.313 0.896
Sr23 Sr 0.396 0.388 0.583
Sr24 Sr 0.695 0.583 0.187
Sr25 Sr 0.612 0.009 0.195
Sr26 Sr 0.491 0.805 0.888
Sr27 Sr 0.813 0.917 0.305
Sr28 Sr 0.687 0.491 0.604
Sr29 Sr 0.805 0.491 0.388
Sr30 Sr 0.112 0.695 0.509
Sr31 Sr 0.805 0.313 0.917
Sr32 Sr 0.009 0.396 0.813
Sr33 Sr 0.305 0.888 0.991
Sr34 Sr 0.888 0.583 0.896
Sr35 Sr 0.509 0.195 0.112
Sr36 Sr 0.583 0.888 0.396
Sr37 Sr 0.687 0.195 0.583
Sr38 Sr 0.417 0.112 0.604
Sr39 Sr 0.112 0.417 0.104
Sr40 Sr 0.604 0.991 0.687
Sr41 Sr 0.417 0.305 0.313
Sr42 Sr 0.388 0.396 0.083
Sr43 Sr 0.991 0.388 0.305
Sr44 Sr 0.491 0.687 0.104
Sr45 Sr 0.388 0.991 0.805
Sr46 Sr 0.917 0.813 0.805
Sr47 Sr 0.612 0.604 0.917
Sr48 Sr 0.396 0.009 0.313
Cd1 Cd 0.125 0.875 0.750
Cd2 Cd 0.750 0.875 0.625
Cd3 Cd 0.875 0.750 0.125
Cd4 Cd 0.750 0.375 0.125
Cd5 Cd 0.250 0.625 0.875
Cd6 Cd 0.625 0.250 0.375
Cd7 Cd 0.125 0.250 0.875
Cd8 Cd 0.250 0.125 0.375
Cd9 Cd 0.375 0.750 0.625
Cd10 Cd 0.375 0.625 0.250
Cd11 Cd 0.625 0.375 0.750
Cd12 Cd 0.875 0.125 0.250

---

# 4
# SrCdO3 PBE-GGA relaxed
# DFT total energy = -3.846 eV per atom
# Formation energy without anion corrections = -1.76 eV per formula unit
data_SrCdO3
_space_group_name_H-M_alt 'P 1'
_space_group_IT_number 1
_cell_length_a 4.464
_cell_length_b 4.464
_cell_length_c 4.464
_cell_angle_alpha 90.00
_cell_angle_beta 90.00
_cell_angle_gamma 90.00
loop_
_space_group_symop_operation_xyz
'x,y,z'
loop_
_atom_site_label
_atom_site_type_symbol
_atom_site_fract_x
_atom_site_fract_y
_atom_site_fract_z
O1 O 0.500 0.000 0.000
O2 O 0.000 0.000 0.500
O3 O 0.000 0.500 0.000
Sr1 Sr 0.000 0.000 0.000
Cd1 Cd 0.500 0.500 0.500

---

# 5
# Sr3CdO PBE-GGA relaxed
# DFT total energy = -3.369 eV per atom
# Formation energy without anion corrections = -5.92 eV per formula unit
# ΔE to the lowest computed polymorph = 0 meV per atom
data_Sr3CdO
_space_group_name_H-M_alt 'P 1'
_space_group_IT_number 1
_cell_length_a 7.337
_cell_length_b 7.338
_cell_length_c 10.803
_cell_angle_alpha 90.00
_cell_angle_beta 90.00
_cell_angle_gamma 90.00
loop_
_space_group_symop_operation_xyz
'x,y,z'
loop_
_atom_site_label
_atom_site_type_symbol
_atom_site_fract_x
_atom_site_fract_y
_atom_site_fract_z
Sr1 Sr 0.772 0.228 0.497
Sr2 Sr 0.500 0.006 0.750
Sr3 Sr 0.228 0.772 0.503
Sr4 Sr 0.000 0.494 0.750
Sr5 Sr 0.000 0.506 0.250
Sr6 Sr 0.772 0.228 0.003
Sr7 Sr 0.272 0.272 0.003
Sr8 Sr 0.728 0.728 0.997
Sr9 Sr 0.272 0.272 0.497
Sr10 Sr 0.228 0.772 0.997
Sr11 Sr 0.728 0.728 0.503
Sr12 Sr 0.500 0.994 0.250
Cd1 Cd 0.498 0.501 0.750
Cd2 Cd 0.998 0.999 0.750
Cd3 Cd 0.002 0.001 0.250
Cd4 Cd 0.502 0.499 0.250
O1 O 0.500 0.000 0.000
O2 O 0.000 0.500 0.000
O3 O 0.500 0.000 0.500
O4 O 0.000 0.500 0.500

---

# 6
# Sr3CdO PBE-GGA relaxed
# DFT total energy = -3.367 eV per atom
# Formation energy without anion corrections = -5.92 eV per formula unit
# ΔE to the lowest computed polymorph = 2 meV per atom
data_Sr3CdO
_space_group_name_H-M_alt 'P 1'
_space_group_IT_number 1
_cell_length_a 5.258
_cell_length_b 5.258
_cell_length_c 5.258
_cell_angle_alpha 90.00
_cell_angle_beta 90.00
_cell_angle_gamma 90.00
loop_
_space_group_symop_operation_xyz
'x,y,z'
loop_
_atom_site_label
_atom_site_type_symbol
_atom_site_fract_x
_atom_site_fract_y
_atom_site_fract_z
Sr1 Sr 0.000 0.500 0.000
Sr2 Sr 0.000 0.000 0.500
Sr3 Sr 0.500 0.000 0.000
O1 O 0.000 0.000 0.000
Cd1 Cd 0.500 0.500 0.500

---

Please write out number 6 again, unchanged.
# Sr3CdO PBE-GGA relaxed
# DFT total energy = -3.367 eV per atom
# Formation energy without anion corrections = -5.92 eV per formula unit
# ΔE to the lowest computed polymorph = 2 meV per atom
data_Sr3CdO
_space_group_name_H-M_alt 'P 1'
_space_group_IT_number 1
_cell_length_a 5.258
_cell_length_b 5.258
_cell_length_c 5.258
_cell_angle_alpha 90.00
_cell_angle_beta 90.00
_cell_angle_gamma 90.00
loop_
_space_group_symop_operation_xyz
'x,y,z'
loop_
_atom_site_label
_atom_site_type_symbol
_atom_site_fract_x
_atom_site_fract_y
_atom_site_fract_z
Sr1 Sr 0.000 0.500 0.000
Sr2 Sr 0.000 0.000 0.500
Sr3 Sr 0.500 0.000 0.000
O1 O 0.000 0.000 0.000
Cd1 Cd 0.500 0.500 0.500